1.
# Pu2BrF4

A relaxed Pu2BrF4 crystal (PBE-GGA, Alexandria via LeMat-Bulk).

## Properties
Crystal system: trigonal
Raw formation energy (eV per atom): -3.10
Total moment (μB/atom): 1.5714
Space-group type: No. 166
Electronic total energy (eV per atom): -8.505
Mass density (g/cm3): 8.66

a = 8.462 Å, b = 8.462 Å, c = 8.462 Å
α = 28.69°, β = 28.69°, γ = 28.69°
Atoms (fractional coordinates):
Pu 0.238 0.238 0.238
Pu 0.762 0.762 0.762
Br 0.000 0.000 0.000
F 0.138 0.138 0.138
F 0.424 0.424 0.424
F 0.576 0.576 0.576
F 0.862 0.862 0.862


2.
# Sb2Pt3Pb2

A relaxed Sb2Pt3Pb2 crystal (PBE-GGA, Alexandria via LeMat-Bulk).

## Properties
Crystal system: monoclinic
Raw formation energy (eV per atom): -0.34
Total moment (μB/atom): 0.0000
Space-group type: No. 12
Electronic total energy (eV per atom): -5.170
Mass density (g/cm3): 12.47

a = 6.918 Å, b = 6.918 Å, c = 6.840 Å
α = 119.46°, β = 119.46°, γ = 36.23°
Atoms (fractional coordinates):
Sb 0.109 0.109 0.257
Sb 0.891 0.891 0.743
Pt 0.000 0.000 0.500
Pt 0.263 0.263 0.718
Pt 0.737 0.737 0.282
Pb 0.367 0.367 0.200
Pb 0.633 0.633 0.800


3.
# InNiRh

A relaxed InNiRh crystal (PBE-GGA, Alexandria via LeMat-Bulk).

## Properties
Crystal system: trigonal
Total moment (μB/atom): 0.0000
Space-group type: No. 156
Excess energy over the best structure of this formula in the dataset (eV per atom): 0.2363
Electronic total energy (eV per atom): -5.154
Mass density (g/cm3): 9.81

a = 2.943 Å, b = 2.943 Å, c = 6.241 Å
α = 90.00°, β = 90.00°, γ = 120.00°
Atoms (fractional coordinates):
In 0.000 0.000 0.000
Ni 0.333 0.667 0.331
Rh 0.667 0.333 0.650


4.
# CrGeOs

A relaxed CrGeOs crystal (PBE-GGA, Alexandria via LeMat-Bulk).

## Properties
Crystal system: orthorhombic
Total moment (μB/atom): 0.0002
Space-group type: No. 38
Electronic total energy (eV per atom): -8.385
Mass density (g/cm3): 12.16

a = 2.832 Å, b = 5.644 Å, c = 5.644 Å
α = 28.46°, β = 90.00°, γ = 90.00°
Atoms (fractional coordinates):
Cr 0.000 0.000 0.000
Ge 0.500 0.659 0.659
Os 0.500 0.361 0.361


5.
# Nd2AlCd16

A relaxed Nd2AlCd16 crystal (PBE-GGA, Alexandria via LeMat-Bulk).

## Properties
Crystal system: trigonal
Total moment (μB/atom): 0.0000
Space-group type: No. 160
Electronic total energy (eV per atom): -1.607
Mass density (g/cm3): 8.00

a = 7.658 Å, b = 7.658 Å, c = 7.658 Å
α = 82.62°, β = 82.62°, γ = 82.62°
Atoms (fractional coordinates):
Nd 0.000 0.000 0.000
Nd 0.349 0.349 0.349
Al 0.770 0.770 0.770
Cd 0.048 0.048 0.459
Cd 0.048 0.459 0.048
Cd 0.142 0.695 0.695
Cd 0.336 0.336 0.798
Cd 0.336 0.798 0.336
Cd 0.368 0.673 0.980
Cd 0.368 0.980 0.673
Cd 0.459 0.048 0.048
Cd 0.582 0.582 0.582
Cd 0.673 0.368 0.980
Cd 0.673 0.980 0.368
Cd 0.695 0.142 0.695
Cd 0.695 0.695 0.142
Cd 0.798 0.336 0.336
Cd 0.980 0.368 0.673
Cd 0.980 0.673 0.368


6.
# Ni2AgOs

A relaxed Ni2AgOs crystal (PBE-GGA, Alexandria via LeMat-Bulk).

## Properties
Crystal system: tetragonal
Total moment (μB/atom): 0.4851
Space-group type: No. 139
Excess energy over the best structure of this formula in the dataset (eV per atom): 0.3117
Electronic total energy (eV per atom): -5.907
Mass density (g/cm3): 12.84

a = 4.457 Å, b = 4.457 Å, c = 4.457 Å
α = 127.77°, β = 127.77°, γ = 77.00°
Atoms (fractional coordinates):
Ni 0.250 0.750 0.500
Ni 0.750 0.250 0.500
Ag 0.000 0.000 0.000
Os 0.500 0.500 0.000


7.
# ZnCr4W

A relaxed ZnCr4W crystal (PBE-GGA, Alexandria via LeMat-Bulk).

## Properties
Crystal system: cubic
Total moment (μB/atom): 0.0000
Space-group type: No. 216
Electronic total energy (eV per atom): -8.672
Mass density (g/cm3): 9.84

a = 4.778 Å, b = 4.778 Å, c = 4.778 Å
α = 60.00°, β = 60.00°, γ = 60.00°
Atoms (fractional coordinates):
Zn 0.000 0.000 0.000
Cr 0.122 0.626 0.626
Cr 0.626 0.122 0.626
Cr 0.626 0.626 0.122
Cr 0.626 0.626 0.626
W 0.250 0.250 0.250


8.
# RbNiSn3

A relaxed RbNiSn3 crystal (PBE-GGA, Alexandria via LeMat-Bulk).

## Properties
Crystal system: cubic
Total moment (μB/atom): 0.0000
Space-group type: No. 221
Excess energy over the best structure of this formula in the dataset (eV per atom): 0.0000
Electronic total energy (eV per atom): -3.699
Mass density (g/cm3): 5.92

a = 5.196 Å, b = 5.196 Å, c = 5.196 Å
α = 90.00°, β = 90.00°, γ = 90.00°
Atoms (fractional coordinates):
Rb 0.000 0.000 0.000
Ni 0.500 0.500 0.500
Sn 0.000 0.500 0.500
Sn 0.500 0.000 0.500
Sn 0.500 0.500 0.000


9.
# PmHo2Se3

A relaxed PmHo2Se3 crystal (PBE-GGA, Alexandria via LeMat-Bulk).

## Properties
Crystal system: orthorhombic
Raw formation energy (eV per atom): -1.76
Total moment (μB/atom): 0.0000
Space-group type: No. 71
Electronic total energy (eV per atom): -5.816
Mass density (g/cm3): 8.06

a = 7.115 Å, b = 7.115 Å, c = 7.115 Å
α = 146.45°, β = 131.97°, γ = 59.86°
Atoms (fractional coordinates):
Pm 0.000 0.000 0.000
Ho 0.340 0.340 0.000
Ho 0.660 0.660 0.000
Se 0.175 0.675 0.500
Se 0.500 0.000 0.500
Se 0.825 0.325 0.500


10.
# TcSO

A relaxed TcSO crystal (PBE-GGA, Alexandria via LeMat-Bulk).

## Properties
Crystal system: orthorhombic
Raw formation energy (eV per atom): -0.33
Total moment (μB/atom): 0.0000
Space-group type: No. 38
Excess energy over the best structure of this formula in the dataset (eV per atom): 0.5821
Electronic total energy (eV per atom): -6.816
Mass density (g/cm3): 3.90

a = 3.821 Å, b = 5.725 Å, c = 5.725 Å
α = 29.76°, β = 90.00°, γ = 90.00°
Atoms (fractional coordinates):
Tc 0.000 0.000 0.000
S 0.500 0.109 0.109
O 0.000 0.847 0.847


11.
# Ni6Sn2Ge

A relaxed Ni6Sn2Ge crystal (PBE-GGA, Alexandria via LeMat-Bulk).

## Properties
Crystal system: orthorhombic
Total moment (μB/atom): 0.0000
Space-group type: No. 71
Electronic total energy (eV per atom): -5.310
Mass density (g/cm3): 8.03

a = 6.753 Å, b = 6.753 Å, c = 6.753 Å
α = 149.30°, β = 118.01°, γ = 70.76°
Atoms (fractional coordinates):
Ni 0.060 0.334 0.726
Ni 0.214 0.000 0.214
Ni 0.392 0.666 0.726
Ni 0.608 0.334 0.274
Ni 0.786 0.000 0.786
Ni 0.940 0.666 0.274
Sn 0.350 0.850 0.500
Sn 0.650 0.150 0.500
Ge 0.000 0.500 0.500


- The highest total moment belongs to which entry?
  Pu2BrF4


Repeat the fourth record exactly.
# CrGeOs

A relaxed CrGeOs crystal (PBE-GGA, Alexandria via LeMat-Bulk).

## Properties
Crystal system: orthorhombic
Total moment (μB/atom): 0.0002
Space-group type: No. 38
Electronic total energy (eV per atom): -8.385
Mass density (g/cm3): 12.16

a = 2.832 Å, b = 5.644 Å, c = 5.644 Å
α = 28.46°, β = 90.00°, γ = 90.00°
Atoms (fractional coordinates):
Cr 0.000 0.000 0.000
Ge 0.500 0.659 0.659
Os 0.500 0.361 0.361